Entry 1:
{"formula": "Ho2SeBr3", "functional": "PBE", "state": "relaxed", "lattice": [[8.844, -2.047, 0.000], [8.844, 2.047, 0.000], [-7.489, 0.000, 10.246]], "species": ["Ho", "Ho", "Ho", "Ho", "Se", "Se", "Br", "Br", "Br", "Br", "Br", "Br"], "fractional_positions": [[0.105, 0.105, 0.440], [0.373, 0.373, 0.170], [0.627, 0.627, 0.830], [0.895, 0.895, 0.560], [0.093, 0.093, 0.664], [0.907, 0.907, 0.336], [0.170, 0.170, 0.028], [0.261, 0.261, 0.394], [0.446, 0.446, 0.761], [0.554, 0.554, 0.239], [0.739, 0.739, 0.606], [0.830, 0.830, 0.972]], "raw_formation_energy_ev_per_atom": -1.682, "total_magnetization_mub_per_fu": 0.85}

Entry 2:
{"formula": "Ho2SeBr", "functional": "PBE", "state": "relaxed", "lattice": [[1.887, 1.089, 8.029], [-1.887, 1.089, 8.029], [0.000, -2.178, 8.029]], "species": ["Ho", "Ho", "Se", "Br"], "fractional_positions": [[0.000, 0.000, 0.000], [0.185, 0.185, 0.185], [0.592, 0.592, 0.592], [0.425, 0.425, 0.425]], "de_polymorph_mev_per_atom": 0, "raw_formation_energy_ev_per_atom": -1.282, "total_magnetization_mub_per_fu": 0.14}